1.
The following is a DFT calculation (PBEsol) of a relaxed structure of SrLi2Cu2.

Cell and atoms, written as extended XYZ:
```
10
Lattice="4.165 0.000 0.000 0.000 4.165 0.000 0.000 0.000 11.486" Properties=species:S:1:pos:R:3 pbc="T T T"
Sr 0.000 0.000 0.000
Sr 2.083 2.083 5.743
Li 0.000 2.083 2.871
Li 0.000 2.083 8.614
Li 2.083 0.000 2.871
Li 2.083 0.000 8.614
Cu 0.000 0.000 4.553
Cu 0.000 0.000 6.932
Cu 2.083 2.083 1.190
Cu 2.083 2.083 10.296
```

Output
The space group is No. 139. The calculation puts the density of states at the Fermi level at 4.71 states/eV/cell. The calculation puts the calculated formation energy at 37 meV per atom. The volume comes out at 199.3 Å³ per cell. The calculation puts the size of the total moment at 0.00 μB per formula unit.

---

2.
The following is a DFT calculation (PBEsol) of a relaxed structure of SrLi2Cu.

Cell and atoms, written as extended XYZ:
```
12
Lattice="4.478 0.000 0.000 -2.239 3.878 0.000 0.000 0.000 16.244" Properties=species:S:1:pos:R:3 pbc="T T T"
Sr 0.000 0.000 0.000
Sr 0.000 2.586 10.830
Sr 2.239 1.293 5.415
Li 0.000 0.000 8.403
Li 0.000 0.000 13.076
Li 0.000 2.586 2.989
Li 0.000 2.586 7.661
Li 2.239 1.293 2.246
Li 2.239 1.293 13.818
Cu 0.000 0.000 3.249
Cu 0.000 2.586 14.078
Cu 2.239 1.293 8.664
```

Output
The space group is No. 160. The calculation puts the density of states at the Fermi level at 5.75 states/eV/cell. The calculation puts the calculated formation energy at 52 meV per atom. The volume comes out at 282.2 Å³ per cell. The calculation puts the polymorph energy (0 for the lowest one) at 0 meV/atom. The calculation puts the size of the total moment at 0.00 μB per formula unit.

---

3.
The following is a DFT calculation (PBEsol) of a relaxed structure of SrLiCu4.

Cell and atoms, written as extended XYZ:
```
6
Lattice="0.000 3.613 3.613 3.613 0.000 3.613 3.613 3.613 0.000" Properties=species:S:1:pos:R:3 pbc="T T T"
Sr 0.000 0.000 0.000
Li 5.420 5.420 5.420
Cu 2.723 2.723 2.723
Cu 4.503 4.503 2.723
Cu 4.503 2.723 4.503
Cu 2.723 4.503 4.503
```

Output
The space group is No. 216. The calculation puts the density of states at the Fermi level at 3.23 states/eV/cell. The calculation puts the calculated formation energy at 7 meV per atom. The volume comes out at 94.3 Å³ per cell. The calculation puts the size of the total moment at 0.00 μB per formula unit.

---

4.
The following is a DFT calculation (PBEsol) of a relaxed structure of SrLi2Cu.

Cell and atoms, written as extended XYZ:
```
8
Lattice="5.077 0.000 0.000 0.000 5.077 0.000 0.000 0.000 7.131" Properties=species:S:1:pos:R:3 pbc="T T T"
Sr 0.000 0.000 0.000
Sr 2.538 2.538 3.566
Li 0.000 0.000 3.566
Li 0.000 2.538 1.783
Li 2.538 0.000 5.348
Li 2.538 2.538 0.000
Cu 0.000 2.538 5.348
Cu 2.538 0.000 1.783
```

Output
The space group is No. 119. The calculation puts the density of states at the Fermi level at 4.27 states/eV/cell. The calculation puts the calculated formation energy at 153 meV per atom. The volume comes out at 183.8 Å³ per cell. The calculation puts the polymorph energy (0 for the lowest one) at 101 meV/atom. The calculation puts the size of the total moment at 0.00 μB per formula unit.

---

5.
The following is a DFT calculation (PBEsol) of a relaxed structure of Sr2LiCu.

Cell and atoms, written as extended XYZ:
```
12
Lattice="4.400 0.000 0.000 -2.200 3.810 0.000 0.000 0.000 23.206" Properties=species:S:1:pos:R:3 pbc="T T T"
Sr 0.000 0.000 0.000
Sr 0.000 0.000 4.180
Sr 0.000 2.540 15.471
Sr 0.000 2.540 19.650
Sr 2.200 1.270 7.735
Sr 2.200 1.270 11.915
Li 0.000 0.000 9.827
Li 0.000 2.540 2.091
Li 2.200 1.270 17.562
Cu 0.000 0.000 17.569
Cu 0.000 2.540 9.834
Cu 2.200 1.270 2.099
```

Output
The space group is No. 160. The calculation puts the density of states at the Fermi level at 6.79 states/eV/cell. The calculation puts the calculated formation energy at 36 meV per atom. The volume comes out at 389.0 Å³ per cell. The calculation puts the size of the total moment at 0.00 μB per formula unit.

---

6.
The following is a DFT calculation (PBEsol) of a relaxed structure of Sr3LiCu.

Cell and atoms, written as extended XYZ:
```
5
Lattice="5.902 0.000 0.000 0.000 5.902 0.000 0.000 0.000 5.902" Properties=species:S:1:pos:R:3 pbc="T T T"
Sr 0.000 0.000 2.951
Sr 0.000 2.951 0.000
Sr 2.951 0.000 0.000
Li 2.951 2.951 2.951
Cu 0.000 0.000 0.000
```

Output
The space group is No. 221. The calculation puts the density of states at the Fermi level at 2.97 states/eV/cell. The calculation puts the calculated formation energy at 80 meV per atom. The volume comes out at 205.6 Å³ per cell. The calculation puts the size of the total moment at 0.00 μB per formula unit.